The following is a DFT calculation (PBE) of crystalline Tb2ScNi at its relaxed geometry.

Output
For the uncorrected energy, the calculation gives -0.205 Ha/atom. The calculation puts the energy relative to the elements at -0.23 eV per atom. The size of the total moment comes out at 0.00 Bohr magnetons per cell. For the distance to the lowest polymorph of the same formula, the calculation gives 0.000 eV/atom.

Lattice parameters (Å, degrees): 6.688 9.305 6.249 90.00 90.00 90.00
Space group Pnma (No. 62)
Inequivalent atoms, fractional coordinates:
Tb 0.187 0.064 0.181 x8
Sc 0.039 0.250 0.639 x4
Ni 0.103 0.750 0.974 x4

***

The following is a DFT calculation (PBE) of crystalline MgSi2Sn at its relaxed geometry.

Output
For the uncorrected energy, the calculation gives -0.137 Ha/atom. The size of the total moment comes out at 0.00 Bohr magnetons per cell. For the distance to the lowest polymorph of the same formula, the calculation gives 0.000 eV/atom. Its raw formation energy is 0.372 eV/atom.

Lattice parameters (Å, degrees): 6.846 6.846 6.846 90.00 90.00 90.00
Space group Fm-3m (No. 225)
Inequivalent atoms, fractional coordinates:
Mg 0.000 0.000 0.000 x4
Si 0.250 0.250 0.250 x8
Sn 0.000 0.000 0.500 x4

***

The following is a DFT calculation (PBE) of crystalline Li2MoRh at its relaxed geometry.

Output
For the uncorrected energy, the calculation gives -0.183 Ha/atom. The calculation puts the energy relative to the elements at 0.53 eV per atom. The size of the total moment comes out at 0.00 Bohr magnetons per cell. For the distance to the lowest polymorph of the same formula, the calculation gives 0.492 eV/atom.

Lattice parameters (Å, degrees): 5.903 5.903 5.903 90.00 90.00 90.00
Space group Fm-3m (No. 225)
Inequivalent atoms, fractional coordinates:
Li 0.250 0.250 0.250 x8
Mo 0.000 0.000 0.000 x4
Rh 0.000 0.000 0.500 x4

***

The following is a DFT calculation (PBE) of crystalline Pm6Te5Br at its relaxed geometry.

Output
For the uncorrected energy, the calculation gives -0.190 Ha/atom. The size of the total moment comes out at 0.00 Bohr magnetons per cell. Its raw formation energy is -1.341 eV/atom.

Lattice parameters (Å, degrees): 7.739 13.323 7.704 90.00 108.71 90.00
Space group C2/m (No. 12)
Inequivalent atoms, fractional coordinates:
Pm 0.219 0.000 0.238 x4
Pm 0.229 0.176 0.731 x8
Te 0.000 0.000 0.500 x2
Te 0.000 0.176 0.000 x4
Te 0.000 0.349 0.500 x4
Br 0.000 0.500 0.000 x2

***

The following is a DFT calculation (PBE) of crystalline Li2TlF at its relaxed geometry.

Output
For the uncorrected energy, the calculation gives -0.126 Ha/atom. The size of the total moment comes out at 0.00 Bohr magnetons per cell. For the distance to the lowest polymorph of the same formula, the calculation gives 0.037 eV/atom. Its raw formation energy is -1.404 eV/atom.

Lattice parameters (Å, degrees): 3.2155 3.2155 21.5152 90.00 90.00 120.00
Space group R-3m (No. 166, hexagonal axes)
Inequivalent atoms, fractional coordinates:
Li 0.0000 0.0000 0.2190 x6
Tl 0.0000 0.0000 0.0000 x3
F 0.0000 0.0000 0.5000 x3

***

The following is a DFT calculation (PBE) of crystalline NaMn2In2 at its relaxed geometry.

Output
For the uncorrected energy, the calculation gives -0.170 Ha/atom. The calculation puts the energy relative to the elements at 0.41 eV per atom. The size of the total moment comes out at 0.60 Bohr magnetons per cell. For the distance to the lowest polymorph of the same formula, the calculation gives 0.123 eV/atom.

Lattice parameters (Å, degrees): 8.108 8.108 2.816 90.00 90.00 90.00
Space group P4/mbm (No. 127)
Inequivalent atoms, fractional coordinates:
Na 0.000 0.000 0.000 x2
Mn 0.089 0.411 0.500 x4
In 0.191 0.691 0.000 x4

***

The following is a DFT calculation (PBE) of crystalline LiPu2Br2O2 at its relaxed geometry.

Output
For the uncorrected energy, the calculation gives -0.306 Ha/atom. The size of the total moment comes out at 22.00 Bohr magnetons per cell. Its raw formation energy is -2.069 eV/atom.

Lattice parameters (Å, degrees): 3.903 3.903 18.478 90.00 90.00 90.00
Space group I4/mmm (No. 139)
Inequivalent atoms, fractional coordinates:
Li 0.000 0.000 0.000 x2
Pu 0.000 0.000 0.418 x4
Br 0.000 0.000 0.162 x4
O 0.000 0.500 0.000 x4

***

The following is a DFT calculation (PBE) of crystalline HoNp4P5 at its relaxed geometry.

Output
For the uncorrected energy, the calculation gives -0.344 Ha/atom. The calculation puts the energy relative to the elements at -1.02 eV per atom. The size of the total moment comes out at 29.90 Bohr magnetons per cell.

Lattice parameters (Å, degrees): 3.965 5.605 19.833 90.00 90.00 90.00
Space group Immm (No. 71)
Inequivalent atoms, fractional coordinates:
Ho 0.000 0.000 0.000 x2
Np 0.000 0.000 0.200 x4
Np 0.000 0.000 0.401 x4
P 0.000 0.500 0.000 x2
P 0.000 0.500 0.199 x4
P 0.000 0.500 0.398 x4

***

no.,DOS(E_F) (states/eV per atom)
1,1.059
2,0.670
3,0.980
4,0.623
5,0.525
6,0.567
7,2.757
8,3.026